Compound: Ba2MgSi3Pt12
Source: Alexandria via LeMat-Bulk
Functional: PBE
Structure: relaxed

Summary:
As for the formation energy from raw total energies: -0.405 eV per atom. The volume is 1123.1 Å³ per cell. The total energy is -304.49 eV per cell. The density of states at the Fermi level comes out at 3.82 states/eV/f.u. The crystal system is trigonal.

Unit cell a=8.4039 b=8.4039 c=18.3617 alpha=90.00 beta=90.00 gamma=120.00
With the nearest neighbours (Å) after each atom.
Space group R-3m (No. 166, hexagonal axes)
Symmetry-distinct sites (fractional):
Ba (0.0000, 0.0000, 0.1105) x6  6 Pt 3.02-3.07
Mg (0.0000, 0.0000, 0.5000) x3  6 Pt 2.52
Si (0.0000, 0.5000, 0.0000) x9  6 Pt 2.31-2.37
Pt (0.0025, 0.5013, 0.1260) x18  1 Si 2.31, 1 Mg 2.52
Pt (0.0416, 0.5208, 0.3667) x18  2 Si 2.37

Compound: Li3NpBr8
Source: Alexandria via LeMat-Bulk
Functional: PBE
Structure: relaxed

Summary:
As for the formation energy from raw total energies: -1.255 eV per atom. The volume is 777.8 Å³ per cell. The total energy is -94.26 eV per cell. The density of states at the Fermi level comes out at 8.24 states/eV/f.u. The crystal system is monoclinic.

Unit cell a=14.0609 b=8.1139 c=8.3178 alpha=90.00 beta=124.95 gamma=90.00
With the nearest neighbours (Å) after each atom.
Space group C2/m (No. 12)
Symmetry-distinct sites (fractional):
Li (0.0000, 0.0000, 0.0000) x2  6 Br 2.61-2.91
Li (0.2500, 0.2500, 0.0000) x4  6 Br 2.61-2.91
Np (0.0000, 0.5000, 0.0000) x2  6 Br 2.70
Br (0.0018, 0.2673, 0.2342) x8  1 Np 2.70, 2 Li 2.91
Br (0.2233, 0.0000, 0.1673) x4  3 Li 2.61
Br (0.2345, 0.5000, 0.2339) x4  1 Np 2.70, 2 Li 2.90

Compound: PmPr3Er6Tm2
Source: Alexandria via LeMat-Bulk
Functional: PBE
Structure: relaxed

Summary:
The value obtained for the energy of formation from the pure elements is 0.023 eV per atom. The volume is 768.3 Å³ per cell. The total energy is -110.27 eV per cell. The density of states at the Fermi level comes out at 15.54 states/eV/f.u. The crystal system is monoclinic.

Unit cell a=6.1882 b=10.7139 c=11.7687 alpha=90.00 beta=100.07 gamma=90.00
With the nearest neighbours (Å) after each atom.
Space group C2/m (No. 12)
Symmetry-distinct sites (fractional):
Pm (0.0000, 0.0000, 0.0000) x2  6 Er 3.52, 6 Tm 3.57
Pr (0.0000, 0.1669, 0.5000) x4  6 Pr 3.57-3.58, 6 Er 3.59-3.60
Pr (0.0000, 0.5000, 0.5000) x2  6 Pr 3.57, 6 Er 3.59-3.60
Er (0.2481, 0.5000, 0.2458) x4  2 Tm 3.52, 1 Pm 3.52, 6 Er 3.57-3.58, 3 Pr 3.59-3.60
Er (0.2491, 0.1670, 0.2458) x8  2 Tm 3.51-3.52, 1 Pm 3.52, 6 Er 3.57-3.58, 3 Pr 3.59-3.60
Tm (0.0000, 0.3332, 0.0000) x4  6 Er 3.51-3.52, 3 Pm 3.57, 3 Tm 3.57

Compound: Cs2RbSr2
Source: Alexandria via LeMat-Bulk
Functional: PBE
Structure: relaxed

Summary:
The value obtained for the energy of formation from the pure elements is 0.208 eV per atom. The volume is 892.1 Å³ per cell. The total energy is -9.99 eV per cell. The density of states at the Fermi level comes out at 6.16 states/eV/f.u. The crystal system is tetragonal.

Unit cell a=5.5893 b=5.5893 c=28.5555 alpha=90.00 beta=90.00 gamma=90.00
With the nearest neighbours (Å) after each atom.
Space group I4/mmm (No. 139)
Symmetry-distinct sites (fractional):
Cs (0.0000, 0.0000, 0.1121) x4  4 Sr 4.83, 4 Rb 5.09
Rb (0.0000, 0.0000, 0.5000) x2  8 Cs 5.09, 4 Rb 5.59
Sr (0.0000, 0.5000, 0.2500) x4  4 Sr 3.95

Compound: Pa2Fe5Ge3
Source: Alexandria via LeMat-Bulk
Functional: PBE
Structure: relaxed

Summary:
The value obtained for the energy of formation from the pure elements is -0.276 eV per atom. The volume is 615.0 Å³ per cell. The total energy is -311.66 eV per cell. The density of states at the Fermi level comes out at 10.18 states/eV/f.u. The crystal system is orthorhombic.

Unit cell a=3.9234 b=23.6239 c=6.6348 alpha=90.00 beta=90.00 gamma=90.00
With the nearest neighbours (Å) after each atom.
Space group Cmc2_1 (No. 36)
Symmetry-distinct sites (fractional):
Pa (0.0000, 0.0187, 0.0000) x4  5 Fe 2.81-2.90, 5 Ge 2.94-3.04
Pa (0.0000, 0.3420, 0.4860) x4  4 Fe 2.83-2.87, 5 Ge 3.05-3.15
Fe (0.0000, 0.1134, 0.7224) x4  1 Fe 2.31, 2 Ge 2.37
Fe (0.0000, 0.2061, 0.6094) x4  4 Fe 2.31-2.53, 3 Ge 2.36-2.50
Fe (0.0000, 0.2108, 0.2397) x4  4 Ge 2.36-2.44, 1 Fe 2.46
Fe (0.0000, 0.3536, 0.9946) x4  4 Ge 2.38-2.46, 4 Fe 2.53-2.60
Fe (0.0000, 0.4541, 0.7863) x4  4 Ge 2.51-2.68, 1 Fe 2.75, 2 Pa 2.81
Ge (0.0000, 0.1113, 0.3180) x4  6 Fe 2.41-2.68
Ge (0.0000, 0.2550, 0.9201) x4  7 Fe 2.36-2.50
Ge (0.0000, 0.4423, 0.1887) x4  4 Fe 2.37-2.53

Compound: Mg2TcSe
Source: Alexandria via LeMat-Bulk
Functional: PBE
Structure: relaxed

Summary:
As for the formation energy from raw total energies: -0.124 eV per atom. The volume is 75.3 Å³ per cell. The total energy is -17.54 eV per cell. The density of states at the Fermi level comes out at 3.80 states/eV/f.u. The crystal system is monoclinic.

Unit cell a=3.9021 b=3.4959 c=5.8556 alpha=90.00 beta=109.43 gamma=90.00
With the nearest neighbours (Å) after each atom.
Space group Pm (No. 6)
Symmetry-distinct sites (fractional):
Mg (0.0000, 0.0000, 0.0000) x1  4 Tc 2.79, 1 Se 2.86
Mg (0.3281, 0.5000, 0.6530) x1  4 Se 2.78, 1 Tc 2.86
Tc (0.5860, 0.5000, 0.1717) x1  2 Se 2.45
Se (0.7425, 0.0000, 0.4823) x1  2 Tc 2.45

Compound: Pr9ErMg2
Source: Alexandria via LeMat-Bulk
Functional: PBE
Structure: relaxed

Summary:
The value obtained for the energy of formation from the pure elements is -0.005 eV per atom. The volume is 400.8 Å³ per cell. The total energy is -50.83 eV per cell. The density of states at the Fermi level comes out at 18.24 states/eV/f.u. The crystal system is tetragonal.

Unit cell a=5.1053 b=5.1053 c=15.3765 alpha=90.00 beta=90.00 gamma=90.00
With the nearest neighbours (Å) after each atom.
Space group P4/mmm (No. 123)
Symmetry-distinct sites (fractional):
Pr (0.0000, 0.0000, 0.0000) x1  4 Er 3.61, 8 Pr 3.65
Pr (0.0000, 0.0000, 0.3349) x2  8 Pr 3.60, 4 Mg 3.61
Pr (0.0000, 0.5000, 0.1694) x4  8 Pr 3.60-3.65, 2 Mg 3.62, 2 Er 3.65
Pr (0.0000, 0.5000, 0.5000) x2  4 Mg 3.58, 8 Pr 3.60-3.61
Er (0.5000, 0.5000, 0.0000) x1  12 Pr 3.61-3.65
Mg (0.5000, 0.5000, 0.3366) x2  12 Pr 3.58-3.62

Compound: Ca2Np2Pd15
Source: Alexandria via LeMat-Bulk
Functional: PBE
Structure: relaxed

Summary:
The value obtained for the energy of formation from the pure elements is -0.346 eV per atom. The volume is 1034.7 Å³ per cell. The total energy is -343.04 eV per cell. The density of states at the Fermi level comes out at 24.76 states/eV/f.u. The crystal system is trigonal.

Unit cell a=9.2266 b=9.2266 c=14.0347 alpha=90.00 beta=90.00 gamma=120.00
With the nearest neighbours (Å) after each atom.
Space group R-3m (No. 166, hexagonal axes)
Symmetry-distinct sites (fractional):
Ca (0.0000, 0.0000, 0.1440) x6  12 Pd 3.19-3.43
Np (0.0000, 0.0000, 0.4177) x6  1 Np 2.31
Pd (0.0000, 0.3127, 0.5000) x18  8 Pd 2.75-2.89
Pd (0.0000, 0.5000, 0.0000) x9  8 Pd 2.66-2.75, 2 Np 2.91
Pd (0.0009, 0.5005, 0.3422) x18  8 Pd 2.66-2.86, 1 Np 2.96